[1]
Density functional theory data (PBE-GGA) for AgBiB3 after structural relaxation.

Energy above the lowest structure with this stoichiometry: 0.000 eV per atom
VASP energy: -17.2 eV per cell
Fermi-level density of states: 0.624 states/eV per atom

The structure in CIF format:
```
data_AgBiB3
_symmetry_space_group_name_H-M 'P m -3 m'
_symmetry_Int_Tables_number 221
_symmetry_space_group_name_Hall '-P 4 2 3'
_cell_length_a 4.3492
_cell_length_b 4.3492
_cell_length_c 4.3492
_cell_angle_alpha 90.00
_cell_angle_beta 90.00
_cell_angle_gamma 90.00
loop_
_atom_site_label
_atom_site_type_symbol
_atom_site_fract_x
_atom_site_fract_y
_atom_site_fract_z
Ag1 Ag 0.0000 0.0000 0.0000
Bi1 Bi 0.5000 0.5000 0.5000
B1 B 0.0000 0.0000 0.5000
```

=====

[2]
Density functional theory data (PBE-GGA) for Re2TcTe after structural relaxation.

VASP energy: -109.3 eV per cell
Fermi-level density of states: 0.656 states/eV per atom
Energy relative to the elements, uncorrected: 47.2 kJ per mole of atoms

The structure in CIF format:
```
data_Re2TcTe
_symmetry_space_group_name_H-M 'R 3 m'
_symmetry_Int_Tables_number 160
_symmetry_space_group_name_Hall 'R 3 -2"'
_cell_length_a 2.9578
_cell_length_b 2.9578
_cell_length_c 26.1428
_cell_angle_alpha 90.00
_cell_angle_beta 90.00
_cell_angle_gamma 120.00
loop_
_atom_site_label
_atom_site_type_symbol
_atom_site_fract_x
_atom_site_fract_y
_atom_site_fract_z
Re1 Re 0.0000 0.0000 0.0000
Re2 Re 0.0000 0.0000 0.2530
Tc1 Tc 0.0000 0.0000 0.7471
Te1 Te 0.0000 0.0000 0.4988
```